A geometry-optimized NaCuBr2 structure. Source: Alexandria, functional PBE.

Summary:
**Space-group type**: R3m
**Uncorrected energy**: -2.946 eV per atom
**Calculated volume**: 23.4 Å³ per atom
**Formation energy without anion corrections**: -292 kJ/mol of formula units
**Excess energy over the best structure of this formula in the dataset**: 116 meV/atom

Unit cell a=7.175 b=7.175 c=7.175 alpha=32.24 beta=32.24 gamma=32.24
Atoms (fractional coordinates):
Na  0.000  0.000  0.000
Cu  0.168  0.168  0.168
Br  0.572  0.572  0.572
Br  0.762  0.762  0.762

=====

A geometry-optimized Na3CuBr4 structure. Source: Alexandria, functional PBE.

Summary:
**Space-group type**: P4/mmm
**Uncorrected energy**: -2.997 eV per atom
**Calculated volume**: 25.3 Å³ per atom
**Formation energy without anion corrections**: -891 kJ/mol of formula units
**Excess energy over the best structure of this formula in the dataset**: 19 meV/atom

Unit cell a=4.193 b=4.193 c=11.491 alpha=90.00 beta=90.00 gamma=90.00
Atoms (fractional coordinates):
Na  0.000  0.000  0.000
Na  0.500  0.500  0.259
Na  0.500  0.500  0.741
Cu  0.000  0.000  0.500
Br  0.000  0.000  0.272
Br  0.000  0.000  0.728
Br  0.500  0.500  0.000
Br  0.500  0.500  0.500

=====

A geometry-optimized Na4Cu3Br12 structure. Source: Alexandria, functional PBE.

Summary:
**Space-group type**: Im-3
**Uncorrected energy**: -2.698 eV per atom
**Calculated volume**: 32.0 Å³ per atom
**Formation energy without anion corrections**: -1314 kJ/mol of formula units

Unit cell a=9.241 b=9.241 c=9.241 alpha=109.47 beta=109.47 gamma=109.47
Atoms (fractional coordinates):
Na  0.000  0.000  0.500
Na  0.000  0.500  0.000
Na  0.500  0.000  0.000
Na  0.500  0.500  0.500
Cu  0.000  0.500  0.500
Cu  0.500  0.000  0.500
Cu  0.500  0.500  0.000
Br  0.156  0.340  0.496
Br  0.156  0.660  0.816
Br  0.184  0.844  0.340
Br  0.340  0.184  0.844
Br  0.340  0.496  0.156
Br  0.496  0.156  0.340
Br  0.504  0.844  0.660
Br  0.660  0.504  0.844
Br  0.660  0.816  0.156
Br  0.816  0.156  0.660
Br  0.844  0.340  0.184
Br  0.844  0.660  0.504

=====

A geometry-optimized NaCuBr3 structure. Source: Alexandria, functional PBE.

Summary:
**Space-group type**: Pm-3m
**Uncorrected energy**: -2.758 eV per atom
**Calculated volume**: 26.6 Å³ per atom
**Formation energy without anion corrections**: -324 kJ/mol of formula units
**Excess energy over the best structure of this formula in the dataset**: 76 meV/atom

Unit cell a=5.107 b=5.107 c=5.107 alpha=90.00 beta=90.00 gamma=90.00
Atoms (fractional coordinates):
Na  0.000  0.000  0.000
Cu  0.500  0.500  0.500
Br  0.000  0.500  0.500
Br  0.500  0.000  0.500
Br  0.500  0.500  0.000